[1]
Material: Sc2InAsRh
Method: DFT, SCAN
State: single point on PBEsol structure

Space group: P4/mmm
Calculated formation energy: -0.407 eV per atom

Lattice parameters (Å, degrees): 4.548 4.923 4.923 90.00 90.00 90.00
Atoms (fractional coordinates):
1 In 0.500 0.500 0.500
2 Sc 0.000 0.000 0.500
3 Sc 0.000 0.500 0.000
4 Rh 0.500 0.000 0.000
5 As 0.000 0.000 0.000

=====

[2]
Material: CoNi2Cl
Method: DFT, SCAN
State: single point on PBEsol structure

Energy above the most stable polymorph in this dataset: 0 meV per atom
Space group: Pmmm
Energy relative to the elements, uncorrected: 168 meV per atom

Lattice parameters (Å, degrees): 2.738 3.073 6.268 90.00 90.00 90.00
Atoms (fractional coordinates):
1 Cl 0.500 0.000 0.000
2 Ni 0.000 0.000 0.699
3 Ni 0.000 0.000 0.301
4 Co 0.500 0.500 0.500

=====

[3]
Material: Co3ReS
Method: DFT, SCAN
State: single point on PBEsol structure

Space group: Pm-3m
Energy relative to the elements, uncorrected: 1654 meV per atom

Lattice parameters (Å, degrees): 4.382 4.382 4.382 90.00 90.00 90.00
Atoms (fractional coordinates):
1 Co 0.000 0.500 0.000
2 Co 0.500 0.000 0.000
3 Co 0.000 0.000 0.500
4 Re 0.000 0.000 0.000
5 S 0.500 0.500 0.500

=====

Computed values of total DFT energy (no corrections) (unit: eV for the cell shown) for the preceding records, in sequence: -117.86, -56.96, -124.37.